Material: Al4ZnAg3
Method: DFT, PBE
State: relaxed

Values from the calculation:
Formation enthalpy at 0 K = -0.01 eV per atom

Cell and atoms, written as POSCAR:
```
Al4ZnAg3
1.0
9.3574 0.0000 0.0000
0.0000 5.4689 0.0000
0.0000 0.0000 5.2742
Al Zn Ag
8 2 6
Direct
0.0000 0.1132 0.0000
0.0000 0.6258 0.0320
0.2476 0.1314 0.3607
0.2524 0.8686 0.8607
0.5000 0.3742 0.5320
0.5000 0.8868 0.5000
0.7476 0.8686 0.8607
0.7524 0.1314 0.3607
0.0000 0.8706 0.4989
0.5000 0.1294 0.9989
0.0000 0.3665 0.5078
0.2426 0.3656 0.8724
0.2574 0.6344 0.3724
0.5000 0.6335 0.0078
0.7426 0.6344 0.3724
0.7574 0.3656 0.8724
```